<i>
VI3Br: relaxed, GGA-PBE.

Output
- D(E_F) (states/eV per cell) = 7.61
- magnetic moment (μB/f.u.) = 3.91

```
VI3Br
1.0
5.918 0.000 0.000
0.000 5.918 0.000
0.000 0.000 5.918
V I Br
1 3 1
Cartesian
0.000 0.000 0.000
0.000 2.959 2.959
2.959 0.000 2.959
2.959 2.959 0.000
2.959 2.959 2.959
```


<ii>
VI3Br: relaxed, GGA-PBE.

Output
- D(E_F) (states/eV per cell) = 5.55
- magnetic moment (μB/f.u.) = 0.97

```
VI3Br
1.0
5.474 0.000 0.000
0.000 5.474 0.000
0.000 0.000 5.474
V I Br
1 3 1
Cartesian
0.000 0.000 0.000
0.000 0.000 2.737
0.000 2.737 0.000
2.737 0.000 0.000
2.737 2.737 2.737
```


Relative energies, meV/atom: <i> 854; <ii> 0.


<i>
V2IBr: relaxed, GGA-PBE.

Output
- D(E_F) (states/eV per cell) = 3.58
- magnetic moment (μB/f.u.) = 4.35

```
V2IBr
1.0
0.000 3.353 3.353
3.353 0.000 3.353
3.353 3.353 0.000
V I Br
2 1 1
Cartesian
1.677 1.677 1.677
5.030 5.030 5.030
0.000 0.000 0.000
3.353 3.353 3.353
```


<ii>
V2IBr: relaxed, GGA-PBE.

Output
- D(E_F) (states/eV per cell) = 6.67
- magnetic moment (μB/f.u.) = 7.97

```
V2IBr
1.0
-2.705 2.705 7.768
2.705 -2.705 7.768
2.705 2.705 -7.768
V I Br
4 2 2
Cartesian
4.058 0.962 -1.942
0.962 1.353 1.942
-1.353 1.743 5.826
1.743 1.353 9.710
2.705 0.000 3.884
0.000 0.000 7.768
0.000 0.000 0.000
0.000 2.705 3.884
```


Relative energies, meV/atom: <i> 140; <ii> 0.


<i>
WIBr4: relaxed, GGA-PBE.

Output
- D(E_F) (states/eV per cell) = 6.70
- magnetic moment (μB/f.u.) = 0.19

```
WIBr4
1.0
8.855 -3.403 0.000
8.855 3.403 0.000
-0.810 0.000 6.584
W I Br
2 2 8
Cartesian
0.139 0.000 2.024
16.760 0.000 4.560
4.912 0.000 5.239
11.987 0.000 1.345
6.999 1.843 2.707
2.645 0.000 1.301
8.855 1.751 0.000
9.900 1.843 3.877
6.999 -1.843 2.707
8.855 -1.751 0.000
14.254 0.000 5.283
9.900 -1.843 3.877
```


<ii>
WIBr4: relaxed, GGA-PBE.

Output
- D(E_F) (states/eV per cell) = 5.32
- magnetic moment (μB/f.u.) = 1.00

```
WIBr4
1.0
6.885 0.000 0.000
-2.227 6.770 0.000
-1.253 -3.287 6.224
W I Br
1 1 4
Cartesian
0.000 0.000 0.000
3.688 1.085 5.239
1.324 -0.669 1.991
0.397 -1.636 5.665
2.072 4.134 4.220
4.988 0.439 1.404
```


Relative energies, meV/atom: <i> 195; <ii> 0.


<i>
WIBr2: relaxed, GGA-PBE.

Output
- D(E_F) (states/eV per cell) = 2.01
- magnetic moment (μB/f.u.) = 0.00

```
WIBr2
1.0
1.672 0.965 11.747
-1.672 0.965 11.747
0.000 -1.930 11.747
W I Br
1 1 2
Cartesian
0.000 0.000 0.000
0.000 0.000 17.620
0.000 0.000 13.550
0.000 0.000 21.691
```


<ii>
WIBr2: relaxed, GGA-PBE.

Output
- D(E_F) (states/eV per cell) = 9.42
- magnetic moment (μB/f.u.) = 0.00

```
WIBr2
1.0
-3.752 3.752 4.898
3.752 -3.752 4.898
3.752 3.752 -4.898
W I Br
2 2 4
Cartesian
0.000 0.000 0.000
0.000 3.752 2.449
3.752 0.000 2.449
0.000 0.000 4.898
5.628 0.945 -1.224
0.945 1.876 1.224
-1.876 2.808 3.673
2.808 1.876 6.122
```


Relative energies, meV/atom: <i> 0; <ii> 405.


<i>
W2IBr: relaxed, GGA-PBE.

Output
- D(E_F) (states/eV per cell) = 3.91
- magnetic moment (μB/f.u.) = 0.00

```
W2IBr
1.0
0.000 3.301 3.301
3.301 0.000 3.301
3.301 3.301 0.000
W I Br
2 1 1
Cartesian
1.650 1.650 1.650
4.951 4.951 4.951
0.000 0.000 0.000
3.301 3.301 3.301
```


<ii>
W2IBr: relaxed, GGA-PBE.

Output
- D(E_F) (states/eV per cell) = 4.64
- magnetic moment (μB/f.u.) = 0.00

```
W2IBr
1.0
-2.252 2.252 8.621
2.252 -2.252 8.621
2.252 2.252 -8.621
W I Br
4 2 2
Cartesian
3.378 0.773 -2.155
0.773 1.126 2.155
-1.126 1.479 6.466
1.479 1.126 10.776
2.252 0.000 4.310
0.000 0.000 8.621
0.000 0.000 0.000
0.000 2.252 4.310
```


Relative energies, meV/atom: <i> 326; <ii> 0.


<i>
W3IBr: relaxed, GGA-PBE.

Output
- D(E_F) (states/eV per cell) = 5.72
- magnetic moment (μB/f.u.) = 0.00

```
W3IBr
1.0
4.710 0.000 0.000
0.000 4.710 0.000
0.000 0.000 4.710
W I Br
3 1 1
Cartesian
0.000 0.000 2.355
0.000 2.355 0.000
2.355 0.000 0.000
2.355 2.355 2.355
0.000 0.000 0.000
```


<ii>
W3IBr: relaxed, GGA-PBE.

Output
- D(E_F) (states/eV per cell) = 8.07
- magnetic moment (μB/f.u.) = 0.00

```
W3IBr
1.0
4.957 0.000 0.000
0.000 4.957 0.000
0.000 0.000 4.957
W I Br
3 1 1
Cartesian
0.000 0.000 2.478
0.000 2.478 0.000
2.478 0.000 0.000
0.000 0.000 0.000
2.478 2.478 2.478
```


Relative energies, meV/atom: <i> 0; <ii> 542.


<i>
YIBr2: relaxed, GGA-PBE.

Output
- D(E_F) (states/eV per cell) = 3.05
- magnetic moment (μB/f.u.) = 0.00

```
YIBr2
1.0
1.936 1.118 11.256
-1.936 1.118 11.256
0.000 -2.236 11.256
Y I Br
1 1 2
Cartesian
0.000 0.000 0.000
0.000 0.000 16.883
0.000 0.000 13.043
0.000 0.000 20.724
```


<ii>
YIBr2: relaxed, GGA-PBE.

Output
- D(E_F) (states/eV per cell) = 1.97
- magnetic moment (μB/f.u.) = 0.11

```
YIBr2
1.0
1.958 1.130 13.429
-1.958 1.130 13.429
0.000 -2.261 13.429
Y I Br
1 1 2
Cartesian
0.000 0.000 0.000
0.000 0.000 20.144
0.000 0.000 2.578
0.000 0.000 37.710
```


Relative energies, meV/atom: <i> 0; <ii> 687.


<i>
YIBr2: relaxed, GGA-PBE.

Output
- D(E_F) (states/eV per cell) = 0.00
- magnetic moment (μB/f.u.) = 0.00

```
YIBr2
1.0
4.106 -6.136 0.000
4.106 6.136 0.000
-3.532 0.000 6.587
Y I Br
2 2 4
Cartesian
2.340 5.035 3.294
4.106 -5.035 0.000
-0.847 1.108 5.172
0.919 -1.108 1.879
3.402 3.071 5.017
5.755 0.828 1.369
3.989 -0.828 4.662
5.168 -3.071 1.724
```


<ii>
YIBr2: relaxed, GGA-PBE.

Output
- D(E_F) (states/eV per cell) = 0.00
- magnetic moment (μB/f.u.) = 0.00

```
YIBr2
1.0
0.000 3.817 3.817
3.817 0.000 3.817
3.817 3.817 0.000
Y I Br
1 1 2
Cartesian
0.000 0.000 0.000
3.817 3.817 3.817
1.909 1.909 1.909
5.726 5.726 5.726
```


<iii>
YIBr2: relaxed, GGA-PBE.

Output
- D(E_F) (states/eV per cell) = 0.00
- magnetic moment (μB/f.u.) = 0.00

```
YIBr2
1.0
-4.970 4.970 3.063
4.970 -4.970 3.063
4.970 4.970 -3.063
Y I Br
2 2 4
Cartesian
0.000 0.000 0.000
0.000 4.970 1.532
4.970 0.000 1.532
0.000 0.000 3.063
-1.171 2.485 0.766
2.485 3.798 2.298
1.171 7.455 0.766
-2.485 6.141 2.298
```


Relative energies, meV/atom: <i> 0; <ii> 727; <iii> 174.